[1]
Computed, not measured: Te2PdAuN after structural relaxation at the PBE-GGA level of DFT.

**Energy above the most stable polymorph in this dataset**: 0.00 kcal/mol of atoms
**Crystal system**: tetragonal
**Volume**: 112 Å³/f.u.

Lattice parameters (Å, degrees): 5.537 5.537 3.664 90.00 90.00 90.00
Space group P4/mmm (No. 123)
Symmetry-distinct sites (fractional):
Te 0.000 0.500 0.000 [2 per cell]
Pd 0.000 0.000 0.000 [1 per cell]
Au 0.500 0.500 0.500 [1 per cell]
N 0.000 0.000 0.500 [1 per cell]

***

[2]
Computed, not measured: Zn2PdAuN after structural relaxation at the PBE-GGA level of DFT.

**Crystal system**: tetragonal
**Volume**: 97 Å³/f.u.

Lattice parameters (Å, degrees): 5.098 5.098 3.736 90.00 90.00 90.00
Space group P4/mmm (No. 123)
Symmetry-distinct sites (fractional):
Zn 0.000 0.500 0.000 [2 per cell]
Pd 0.000 0.000 0.500 [1 per cell]
Au 0.500 0.500 0.000 [1 per cell]
N 0.500 0.500 0.500 [1 per cell]

***

[3]
Computed, not measured: Pm3AuN after structural relaxation at the PBE-GGA level of DFT.

**Energy above the most stable polymorph in this dataset**: 1.67 kcal/mol of atoms
**Crystal system**: orthorhombic
**Volume**: 120 Å³/f.u.

Lattice parameters (Å, degrees): 9.558 13.415 3.741 90.00 90.00 90.00
Space group Cmmm (No. 65)
Symmetry-distinct sites (fractional):
Pm 0.000 0.188 0.000 [4 per cell]
Pm 0.194 0.368 0.500 [8 per cell]
Au 0.000 0.000 0.500 [2 per cell]
Au 0.000 0.500 0.000 [2 per cell]
N 0.250 0.250 0.000 [4 per cell]

***

Number 1: formation energy (no corrections) 0.732 eV/atom. Number 2: formation energy (no corrections) 0.979 eV/atom. Number 3: formation energy (no corrections) -0.830 eV/atom.